Run 1
Entry from Alexandria: a geometry-optimized MoOsI2N structure (GGA-PBE).

Results
* space group: P4/mmm (123)
* total moment: 2.933 μB/cell
* density: 7.96 Mg/m³

Cell: 5.523 5.523 3.787 Å, 90.00 90.00 90.00°
Site moments in Bohr magnetons follow the coordinates.
Fractional coordinates of all 5 atoms:
Mo: 0.000 0.000 0.000  -0.35
I: 0.000 0.500 0.000  0.07
Os: 0.500 0.500 0.500  2.72
I: 0.500 0.000 0.000  0.07
N: 0.000 0.000 0.500  0.05

---

Run 2
Entry from Alexandria: a geometry-optimized MoOsI2N structure (GGA-PBE).

Results
* space group: P4/mmm (123)
* total moment: 4.502 μB/cell
* density: 7.87 Mg/m³

Cell: 5.591 5.591 3.737 Å, 90.00 90.00 90.00°
Site moments in Bohr magnetons follow the coordinates.
Fractional coordinates of all 5 atoms:
I: 0.000 0.500 0.000  -0.01
N: 0.000 0.000 0.500  0.02
I: 0.500 0.000 0.000  -0.01
Mo: 0.500 0.500 0.500  3.65
Os: 0.000 0.000 0.000  -0.02

---

The structure with the greatest stability is run 2.

---

Run 1
Entry from Alexandria: a geometry-optimized MoPIN2 structure (GGA-PBE).

Results
* space group: P4/mmm (123)
* total moment: 4.110 μB/cell
* density: 5.06 Mg/m³

Cell: 3.683 3.683 6.825 Å, 90.00 90.00 90.00°
Site moments in Bohr magnetons follow the coordinates.
Fractional coordinates of all 5 atoms:
I: 0.000 0.000 0.500  0.05
P: 0.000 0.000 0.000  -0.01
N: 0.000 0.500 0.000  0.25
N: 0.500 0.000 0.000  0.25
Mo: 0.500 0.500 0.500  2.81

---

Run 2
Entry from Alexandria: a geometry-optimized MoPIN2 structure (GGA-PBE).

Results
* space group: P4/mmm (123)
* total moment: 1.069 μB/cell
* density: 5.14 Mg/m³

Cell: 3.946 3.946 5.846 Å, 90.00 90.00 90.00°
Site moments in Bohr magnetons follow the coordinates.
Fractional coordinates of all 5 atoms:
I: 0.000 0.000 0.500  0.01
N: 0.500 0.000 0.000  0.09
N: 0.000 0.500 0.000  0.09
P: 0.500 0.500 0.500  0.40
Mo: 0.000 0.000 0.000  -0.06

---

The structure with the greatest stability is run 2.